[1]
VASP calculation (PBE-GGA) on Mg2CuAu after structural relaxation.

Cell and atoms, written as POSCAR:
```
Mg2CuAu
1.0
4.4541 0.0000 0.0000
0.0000 5.1393 -1.4247
0.0000 0.1429 6.0743
Cu Mg Au
2 4 2
direct
0.2500 0.3575 0.2081
0.7500 0.6425 0.7919
0.7500 0.1991 0.4311
0.2500 0.8009 0.5689
0.2500 0.8245 0.0709
0.7500 0.1755 0.9291
0.2500 0.3424 0.7255
0.7500 0.6576 0.2745
```

As for the crystal system: monoclinic. As for the calculated volume: 17.5 Å³ per atom. As for the space-group type: P2_1/m. For the total energy, the calculation gives -23.74 eV per cell. The energy of formation is -0.327 eV per atom.

=====

[2]
VASP calculation (PBE-GGA) on Mg4CuAu after structural relaxation.

Cell and atoms, written as POSCAR:
```
Mg4CuAu
1.0
-0.5306 -0.6534 5.4321
-4.8809 -1.3416 2.1431
-0.7940 -5.0174 2.1001
Mg Cu Au
4 1 1
direct
0.3751 0.3751 0.8748
0.8748 0.3751 0.3751
0.3751 0.3751 0.3751
0.3751 0.8748 0.3751
0.0000 0.0000 0.0000
0.7500 0.7500 0.7500
```

As for the crystal system: cubic. As for the calculated volume: 19.6 Å³ per atom. As for the space-group type: F-43m. For the total energy, the calculation gives -12.71 eV per cell. The energy of formation is 0.173 eV per atom.

=====

[3]
VASP calculation (PBE-GGA) on Mg4CuAu after structural relaxation.

Cell and atoms, written as POSCAR:
```
Mg4CuAu
1.0
4.4760 -0.0001 -0.0017
-0.0003 4.4781 -0.0023
0.0027 0.0044 6.4402
Mg Cu Au
4 1 1
direct
0.5013 0.9974 0.7406
0.0013 0.4973 0.7405
0.5013 0.9972 0.2554
0.0013 0.4972 0.2555
0.0013 0.9973 0.4987
0.5013 0.4973 0.9982
```

As for the crystal system: tetragonal. As for the calculated volume: 21.5 Å³ per atom. As for the space-group type: P4/mmm. For the total energy, the calculation gives -14.91 eV per cell. The energy of formation is -0.193 eV per atom.

=====

[4]
VASP calculation (PBE-GGA) on MgCu2Au4 after structural relaxation.

Cell and atoms, written as POSCAR:
```
MgCu2Au4
1.0
-2.4634 -3.1301 -3.9116
2.9570 -2.8341 -3.6413
-1.1898 -5.2701 0.9195
Mg Au Cu
1 4 2
direct
0.0000 0.0000 0.0000
0.0000 0.0000 0.5000
0.5000 0.5000 0.0000
0.0000 0.5000 0.0000
0.5000 0.0000 0.5000
0.5000 0.5000 0.5000
0.0000 0.5000 0.5000
```

As for the crystal system: monoclinic. As for the calculated volume: 17.5 Å³ per atom. As for the space-group type: C2/m. For the total energy, the calculation gives -23.92 eV per cell. The energy of formation is -0.146 eV per atom.